Entry 1:
Compound: RbPuCd2Br8
Source: Alexandria via LeMat-Bulk
Functional: PBE
Structure: relaxed

POSCAR file:
```
RbPuCd2Br8
1.0
6.9040 0.6532 0.6170
0.6541 7.0285 0.7252
0.8014 0.9971 9.6643
Br Rb Cd Pu
8 1 2 1
Direct
0.7115 0.7515 0.0280 Br
0.1688 0.7210 0.2291 Br
0.7620 0.2097 0.2114 Br
0.8312 0.2790 0.7709 Br
0.6381 0.7038 0.4868 Br
0.2885 0.2485 0.9720 Br
0.3619 0.2962 0.5132 Br
0.2380 0.7903 0.7886 Br
0.0000 0.0000 0.5000 Rb
0.4536 0.4432 0.7185 Cd
0.5464 0.5568 0.2815 Cd
0.0000 0.0000 0.0000 Pu
```

Values from the calculation:
**E_form (uncorrected)**: -27.22 kcal/mol of atoms
**Symmetry**: P-1 (2)

=====

Entry 2:
Compound: PuTlCd2Br8
Source: Alexandria via LeMat-Bulk
Functional: PBE
Structure: relaxed

POSCAR file:
```
PuTlCd2Br8
1.0
7.0411 0.0072 0.0161
0.0381 6.7438 0.0175
0.0336 0.0432 8.7158
Br Cd Pu Tl
8 2 1 1
Direct
0.6290 0.7274 0.5006 Br
0.6644 0.7324 0.0005 Br
0.1715 0.7422 0.2218 Br
0.3710 0.2726 0.4994 Br
0.8285 0.2578 0.7782 Br
0.3356 0.2676 0.9995 Br
0.1733 0.7444 0.7792 Br
0.8267 0.2556 0.2208 Br
0.4984 0.4973 0.7437 Cd
0.5016 0.5027 0.2563 Cd
0.0000 0.0000 0.0000 Pu
0.0000 0.0000 0.5000 Tl
```

Values from the calculation:
**E_form (uncorrected)**: -23.28 kcal/mol of atoms
**Symmetry**: P-1 (2)

=====

Entry 3:
Compound: PuTlCdBr6
Source: Alexandria via LeMat-Bulk
Functional: PBE
Structure: relaxed

POSCAR file:
```
PuTlCdBr6
1.0
7.4263 0.0000 0.0000
-3.7131 6.4313 0.0000
0.0000 0.0000 14.3499
Pu Tl Cd Br
2 2 2 12
Direct
0.6667 0.3333 0.2500 Pu
0.3333 0.6667 0.7500 Pu
0.0000 0.0000 0.0000 Tl
0.0000 0.0000 0.5000 Tl
0.3333 0.6667 0.2500 Cd
0.6667 0.3333 0.7500 Cd
0.6350 0.0070 0.8627 Br
0.3650 0.3720 0.3627 Br
0.3720 0.0070 0.6373 Br
0.0070 0.3720 0.1373 Br
0.6350 0.6280 0.6373 Br
0.3650 0.9930 0.1373 Br
0.9930 0.6280 0.8627 Br
0.9930 0.3650 0.6373 Br
0.6280 0.6350 0.1373 Br
0.6280 0.9930 0.3627 Br
0.3720 0.3650 0.8627 Br
0.0070 0.6350 0.3627 Br
```

Values from the calculation:
**E_form (uncorrected)**: -26.42 kcal/mol of atoms
**Symmetry**: P-31c (163)

=====

Entry 4:
Compound: Rb4Cd3Br10
Source: Alexandria via LeMat-Bulk
Functional: PBE
Structure: relaxed

POSCAR file:
```
Rb4Cd3Br10
1.0
5.5405 0.0000 -0.7523
-0.1022 5.5395 -0.7523
-0.1115 -0.1136 19.9565
Br Cd Rb
10 3 4
Direct
0.3613 0.8613 0.7226 Br
0.8613 0.3613 0.7226 Br
0.7867 0.7867 0.5734 Br
0.1387 0.6387 0.2774 Br
0.5000 0.0000 0.0000 Br
0.9291 0.9291 0.8582 Br
0.0000 0.5000 0.0000 Br
0.0709 0.0709 0.1418 Br
0.2133 0.2133 0.4266 Br
0.6387 0.1387 0.2774 Br
0.8558 0.8558 0.7115 Cd
0.1442 0.1442 0.2885 Cd
0.0000 0.0000 0.0000 Cd
0.4321 0.4321 0.8641 Rb
0.6981 0.6981 0.3963 Rb
0.5679 0.5679 0.1359 Rb
0.3019 0.3019 0.6037 Rb
```

Values from the calculation:
**E_form (uncorrected)**: -29.11 kcal/mol of atoms
**Symmetry**: I4/mmm (139)

=====

Entry 5:
Compound: Rb3Cd2Br7
Source: Alexandria via LeMat-Bulk
Functional: PBE
Structure: relaxed

POSCAR file:
```
Rb3Cd2Br7
1.0
-4.5315 -2.9260 -1.5195
3.1083 -2.9301 -3.6274
3.4586 -6.5064 12.5480
Rb Br Cd
3 7 2
Direct
0.5000 0.5000 0.0000 Rb
0.6784 0.6784 0.3568 Rb
0.3216 0.3216 0.6432 Rb
0.0000 0.0000 0.0000 Br
0.9047 0.4047 0.8095 Br
0.4047 0.9047 0.8095 Br
0.8018 0.8018 0.6037 Br
0.0953 0.5953 0.1905 Br
0.1982 0.1982 0.3963 Br
0.5953 0.0953 0.1905 Br
0.1013 0.1013 0.2026 Cd
0.8987 0.8987 0.7974 Cd
```

Values from the calculation:
**E_form (uncorrected)**: -29.82 kcal/mol of atoms
**Symmetry**: I4/mmm (139)
**Energy above the lowest structure with this stoichiometry**: 0.00 eV/f.u.

=====

Entry 6:
Compound: RbCdBr
Source: Alexandria via LeMat-Bulk
Functional: PBE
Structure: relaxed

POSCAR file:
```
RbCdBr
1.0
6.7722 0.0000 0.0000
-3.3861 3.3966 0.0000
0.0000 0.0000 13.9740
Cd Rb Br
2 2 2
Direct
0.4033 0.8066 0.5000 Cd
0.4039 0.8079 0.0000 Cd
0.7162 0.4325 0.2502 Rb
0.7162 0.4325 0.7498 Rb
0.2134 0.4269 0.7498 Br
0.2134 0.4269 0.2502 Br
```

Values from the calculation:
**E_form (uncorrected)**: -19.87 kcal/mol of atoms
**Symmetry**: Amm2 (38)

=====

Entry 7:
Compound: Rb3Cd2Br6
Source: Alexandria via LeMat-Bulk
Functional: PBE
Structure: relaxed

POSCAR file:
```
Rb3Cd2Br6
1.0
5.5855 0.0000 0.0000
0.0000 5.5855 0.0000
-2.7928 -2.7928 13.8520
Br Cd Rb
6 2 3
Direct
0.9173 0.4173 0.8345 Br
0.5827 0.0827 0.1655 Br
0.2996 0.2996 0.5992 Br
0.4173 0.9173 0.8345 Br
0.0827 0.5827 0.1655 Br
0.7004 0.7004 0.4008 Br
0.6013 0.6013 0.2026 Cd
0.3987 0.3987 0.7974 Cd
0.0000 0.0000 0.0000 Rb
0.1753 0.1753 0.3506 Rb
0.8247 0.8247 0.6494 Rb
```

Values from the calculation:
**E_form (uncorrected)**: -29.13 kcal/mol of atoms
**Symmetry**: I4/mmm (139)

=====

Entry 8:
Compound: RbCd2Br4
Source: Alexandria via LeMat-Bulk
Functional: PBE
Structure: relaxed

POSCAR file:
```
RbCd2Br4
1.0
-5.1789 -5.0421 0.3802
4.4372 1.3334 5.5607
-3.6823 6.1831 -0.7742
Cd Br Rb
2 4 1
Direct
0.7500 0.2500 0.5000 Cd
0.2500 0.7500 0.5000 Cd
0.1554 0.6853 0.8407 Br
0.6853 0.8446 0.5300 Br
0.8446 0.3147 0.1593 Br
0.3147 0.1554 0.4700 Br
0.5000 0.5000 0.0000 Rb
```

Values from the calculation:
**E_form (uncorrected)**: -20.23 kcal/mol of atoms
**Symmetry**: I4/m (87)

=====

Entry 9:
Compound: Rb3CdBr5
Source: Alexandria via LeMat-Bulk
Functional: PBE
Structure: relaxed

POSCAR file:
```
Rb3CdBr5
1.0
8.2313 0.0000 -4.5286
-2.4915 7.8451 -4.5286
0.3489 0.4768 10.3791
Rb Br Cd
6 10 2
Direct
0.7500 0.7500 0.5000 Rb
0.3407 0.8407 0.0000 Rb
0.8407 0.6593 0.0000 Rb
0.6593 0.1593 0.0000 Rb
0.1593 0.3407 0.0000 Rb
0.2500 0.2500 0.5000 Rb
0.0061 0.5061 0.7054 Br
0.5061 0.6993 0.7054 Br
0.1993 0.0061 0.7054 Br
0.4939 0.3007 0.2946 Br
0.0000 0.0000 0.0000 Br
0.5000 0.5000 0.0000 Br
0.9939 0.4939 0.2946 Br
0.6993 0.1993 0.7054 Br
0.3007 0.8007 0.2946 Br
0.8007 0.9939 0.2946 Br
0.2500 0.7500 0.5000 Cd
0.7500 0.2500 0.5000 Cd
```

Values from the calculation:
**E_form (uncorrected)**: -33.46 kcal/mol of atoms
**Symmetry**: I4/mcm (140)

=====

Entry 10:
Compound: Rb4Cd2Br
Source: Alexandria via LeMat-Bulk
Functional: PBE
Structure: relaxed

POSCAR file:
```
Rb4Cd2Br
1.0
6.9384 0.0000 0.0000
0.0000 6.9384 0.0000
-3.4692 -3.4692 8.6902
Rb Br Cd
4 1 2
Direct
0.8038 0.8038 0.6077 Rb
0.1962 0.1962 0.3923 Rb
0.0000 0.5000 0.0000 Rb
0.5000 0.0000 0.0000 Rb
0.0000 0.0000 0.0000 Br
0.4128 0.4128 0.8257 Cd
0.5872 0.5872 0.1743 Cd
```

Values from the calculation:
**E_form (uncorrected)**: -9.46 kcal/mol of atoms
**Symmetry**: I4/mmm (139)

=====

Entry 11:
Compound: RbCd3Br
Source: Alexandria via LeMat-Bulk
Functional: PBE
Structure: relaxed

POSCAR file:
```
RbCd3Br
1.0
6.4501 0.0000 0.0000
0.0000 6.4501 0.0000
0.0000 0.0000 6.4501
Cd Rb Br
3 1 1
Direct
0.0000 0.5000 0.0000 Cd
0.5000 0.0000 0.0000 Cd
0.0000 0.0000 0.5000 Cd
0.5000 0.5000 0.5000 Rb
0.0000 0.0000 0.0000 Br
```

Values from the calculation:
**E_form (uncorrected)**: 0.72 kcal/mol of atoms
**Symmetry**: Pm-3m (221)
**Energy above the lowest structure with this stoichiometry**: 0.00 eV/f.u.

=====

Entry 12:
Compound: RbCdBr4
Source: Alexandria via LeMat-Bulk
Functional: PBE
Structure: relaxed

POSCAR file:
```
RbCdBr4
1.0
-3.4802 1.6529 -3.9397
-1.0782 -7.9336 -2.3760
-5.7210 -1.6792 8.2031
Br Cd Rb
8 2 2
Direct
0.9245 0.3331 0.8489 Br
0.6677 0.5385 0.3354 Br
0.2974 0.5534 0.5948 Br
0.7026 0.0534 0.4052 Br
0.0755 0.8331 0.1511 Br
0.3323 0.0385 0.6646 Br
0.4737 0.9120 0.9474 Br
0.5263 0.4120 0.0526 Br
0.3908 0.3285 0.7815 Cd
0.6092 0.8285 0.2185 Cd
0.8738 0.7679 0.7476 Rb
0.1262 0.2679 0.2524 Rb
```

Values from the calculation:
**E_form (uncorrected)**: -20.22 kcal/mol of atoms
**Symmetry**: Cmc2_1 (36)

=====

Entry 13:
Compound: Rb2Cd3Br8
Source: Alexandria via LeMat-Bulk
Functional: PBE
Structure: relaxed

POSCAR file:
```
Rb2Cd3Br8
1.0
7.3268 0.0000 0.2030
0.0000 8.3425 0.0000
-2.7021 -4.1712 7.8140
Cd Rb Br
3 2 8
Direct
0.0000 0.2572 0.0000 Cd
0.0000 0.7428 0.0000 Cd
0.5000 0.0000 0.0000 Cd
0.3269 0.2646 0.5292 Rb
0.6731 0.7354 0.4708 Rb
0.0993 0.9014 0.8028 Br
0.3886 0.3283 0.1930 Br
0.3886 0.8647 0.1930 Br
0.0339 0.3899 0.7798 Br
0.9661 0.6101 0.2202 Br
0.9007 0.0986 0.1972 Br
0.6114 0.6717 0.8070 Br
0.6114 0.1353 0.8070 Br
```

Values from the calculation:
**E_form (uncorrected)**: -26.18 kcal/mol of atoms
**Symmetry**: C2/m (12)

=====

Entry 14:
Compound: Rb3Cd2Br7
Source: Alexandria via LeMat-Bulk
Functional: PBE
Structure: relaxed

POSCAR file:
```
Rb3Cd2Br7
1.0
-1.9770 -2.3029 4.6415
-2.6095 -3.9581 -3.0753
12.6916 -6.1591 2.3499
Br Rb Cd
7 3 2
Direct
0.0000 0.4056 0.8111 Br
0.5000 0.9046 0.8091 Br
0.0000 0.1976 0.3952 Br
0.0000 0.0000 0.0000 Br
0.0000 0.5944 0.1889 Br
0.0000 0.8024 0.6048 Br
0.5000 0.0954 0.1909 Br
0.5000 0.6762 0.3524 Rb
0.5000 0.3238 0.6476 Rb
0.5000 0.5000 0.0000 Rb
0.0000 0.8986 0.7972 Cd
0.0000 0.1014 0.2028 Cd
```

Values from the calculation:
**E_form (uncorrected)**: -29.36 kcal/mol of atoms
**Symmetry**: Cmmm (65)
**Energy above the lowest structure with this stoichiometry**: 0.24 eV/f.u.

=====

Entry 15:
Compound: RbCd4Br8
Source: Alexandria via LeMat-Bulk
Functional: PBE
Structure: relaxed

POSCAR file:
```
RbCd4Br8
1.0
-5.1151 -3.2906 -5.7718
2.9555 -5.5532 -5.5437
-2.6506 -9.2971 1.5589
Br Cd Rb
8 4 1
Direct
0.2884 0.7626 0.1864 Br
0.7626 0.7626 0.1864 Br
0.2374 0.2374 0.8136 Br
0.7626 0.2884 0.1864 Br
0.2374 0.7116 0.8136 Br
0.7116 0.2374 0.8136 Br
0.2725 0.2725 0.1825 Br
0.7275 0.7275 0.8175 Br
0.5000 0.5000 0.0000 Cd
0.0000 0.5000 0.0000 Cd
0.5000 0.0000 0.0000 Cd
0.0000 0.0000 0.0000 Cd
0.5000 0.5000 0.5000 Rb
```

Values from the calculation:
**E_form (uncorrected)**: -20.45 kcal/mol of atoms
**Symmetry**: R-3m (166)

=====

Entry 16:
Compound: Rb12Cd3Br5
Source: Alexandria via LeMat-Bulk
Functional: PBE
Structure: relaxed

POSCAR file:
```
Rb12Cd3Br5
1.0
-10.4563 -7.0160 -13.5947
17.8603 -3.4393 -3.5430
-4.7255 -7.8514 16.1058
Br Rb Cd
20 48 12
Direct
0.2500 0.3750 0.6250 Br
0.2500 0.8750 0.1250 Br
0.0000 0.5000 0.5000 Br
0.5000 0.0000 0.5000 Br
0.5000 0.5000 0.5000 Br
0.8750 0.6250 0.7500 Br
0.5000 0.0000 0.0000 Br
0.7500 0.6250 0.3750 Br
0.5000 0.5000 0.0000 Br
0.7500 0.1250 0.8750 Br
0.1250 0.7500 0.3750 Br
0.0000 0.0000 0.0000 Br
0.0000 0.5000 0.0000 Br
0.1250 0.3750 0.2500 Br
0.6250 0.8750 0.2500 Br
0.0000 0.0000 0.5000 Br
0.8750 0.2500 0.6250 Br
0.3750 0.2500 0.1250 Br
0.3750 0.1250 0.7500 Br
0.6250 0.7500 0.8750 Br
0.6739 0.2127 0.5856 Rb
0.6272 0.5883 0.9144 Rb
0.1739 0.0856 0.7127 Rb
0.7127 0.5856 0.1739 Rb
0.9144 0.0883 0.6272 Rb
0.5389 0.2127 0.1272 Rb
0.4611 0.6739 0.0883 Rb
0.8261 0.9144 0.2873 Rb
0.2873 0.4144 0.8261 Rb
0.5856 0.8728 0.4117 Rb
0.6739 0.4611 0.5883 Rb
0.0856 0.1739 0.2127 Rb
0.9117 0.0856 0.8728 Rb
0.9611 0.3728 0.2873 Rb
0.4117 0.0389 0.3261 Rb
0.5389 0.3261 0.9117 Rb
0.4117 0.3728 0.5856 Rb
0.8261 0.9117 0.0389 Rb
0.5883 0.6272 0.4144 Rb
0.0389 0.6272 0.7127 Rb
0.1272 0.4144 0.0883 Rb
0.3728 0.9611 0.7873 Rb
0.4611 0.7873 0.8728 Rb
0.9611 0.5883 0.1739 Rb
0.0389 0.4117 0.8261 Rb
0.1739 0.0883 0.9611 Rb
0.3261 0.7873 0.4144 Rb
0.8728 0.2873 0.4611 Rb
0.4144 0.1272 0.5883 Rb
0.6272 0.0389 0.2127 Rb
0.0856 0.9117 0.3728 Rb
0.4144 0.2873 0.3261 Rb
0.1272 0.7127 0.5389 Rb
0.0883 0.9144 0.1272 Rb
0.2873 0.8728 0.9611 Rb
0.3261 0.5389 0.4117 Rb
0.9144 0.8261 0.7873 Rb
0.5883 0.9611 0.6739 Rb
0.7873 0.3261 0.9144 Rb
0.0883 0.1739 0.4611 Rb
0.9117 0.8261 0.5389 Rb
0.8728 0.5856 0.9117 Rb
0.2127 0.6739 0.0856 Rb
0.7127 0.1272 0.0389 Rb
0.5856 0.7127 0.6739 Rb
0.3728 0.4117 0.0856 Rb
0.7873 0.4611 0.3728 Rb
0.2127 0.5389 0.6272 Rb
0.3750 0.7500 0.6250 Cd
0.6250 0.2500 0.3750 Cd
0.2500 0.6250 0.8750 Cd
0.7500 0.8750 0.6250 Cd
0.8750 0.1250 0.2500 Cd
0.7500 0.3750 0.1250 Cd
0.1250 0.2500 0.8750 Cd
0.1250 0.8750 0.7500 Cd
0.6250 0.3750 0.7500 Cd
0.8750 0.7500 0.1250 Cd
0.3750 0.6250 0.2500 Cd
0.2500 0.1250 0.3750 Cd
```

Values from the calculation:
**E_form (uncorrected)**: -17.41 kcal/mol of atoms
**Symmetry**: Ia-3d (230)